A plane-wave DFT calculation with PBE was carried out for an optimized crystal structure of NpPtRh.

Values from the calculation:
Volume, Å³/atom: 18.16
Relative energy among the computed polymorphs, eV per atom: 0.0610
Energy, Ry per atom: -0.66920
DFT formation energy, eV per atom: -0.327
Density of states at the Fermi level, states/eV per cell: 29.805
Total magnetic moment, μB per formula unit: 3.35

Cell lengths 4.6506, 5.7681, 8.1225 Å; angles 90.00, 90.00, 90.00 degrees
Closest atoms and distances in Å follow each position.
Space group Immm (No. 71)
Asymmetric unit:
Np1 0.0000 0.2491 0.0000 (multiplicity 4)  2 Np 2.87-2.89, 6 Rh 3.04-3.09, 6 Pt 3.05-3.06
Pt1 0.0000 0.0000 0.3317 (multiplicity 4)  4 Rh 2.70-2.88, 1 Pt 2.73
Rh1 0.0000 0.5000 0.3363 (multiplicity 4)  1 Rh 2.66, 4 Pt 2.70-2.88

A plane-wave DFT calculation with PBE was carried out for an optimized crystal structure of Ba4Se3Br.

Values from the calculation:
Volume, Å³/atom: 36.96
Energy relative to the elements, uncorrected, meV/atom: -1951
Energy, Ry per atom: -0.32546
Density of states at the Fermi level, states/eV per cell: 6.172
Total magnetic moment, μB per formula unit: 0.00

Cell lengths 6.6600, 6.6600, 13.3327 Å; angles 90.00, 90.00, 90.00 degrees
Closest atoms and distances in Å follow each position.
Space group I4/mmm (No. 139)
Asymmetric unit:
Ba1 0.0000 0.0000 0.2414 (multiplicity 4)  5 Se 3.22-3.33, 1 Br 3.45
Ba2 0.0000 0.5000 0.0000 (multiplicity 4)  4 Se 3.33, 2 Br 3.33
Se1 0.0000 0.0000 0.0000 (multiplicity 2)  6 Ba 3.22-3.33
Se2 0.0000 0.5000 0.2500 (multiplicity 4)  6 Ba 3.33
Br1 0.0000 0.0000 0.5000 (multiplicity 2)  6 Ba 3.33-3.45

A plane-wave DFT calculation with PBE was carried out for an optimized crystal structure of CsAg2Bi2O6.

Values from the calculation:
Volume, Å³/atom: 19.78
Energy relative to the elements, uncorrected, meV/atom: -715
Energy, Ry per atom: -0.34697
Density of states at the Fermi level, states/eV per cell: 4.364
Total magnetic moment, μB per formula unit: 0.00

Cell lengths 6.2459, 6.2983, 7.1715 Å; angles 64.23, 67.44, 61.47 degrees
Closest atoms and distances in Å follow each position.
Space group P-1 (No. 2)
Asymmetric unit:
Cs1 0.0000 0.0000 0.0000 (multiplicity 1)  6 O 3.03-3.16
Ag1 0.2480 0.7322 0.5113 (multiplicity 2)  2 O 2.10-2.11
Bi1 0.3329 0.3299 0.0190 (multiplicity 2)  6 O 2.21-2.29
O1 0.0644 0.5284 0.7959 (multiplicity 2)  1 Ag 2.11, 2 Bi 2.26-2.29
O2 0.3974 0.9127 0.1979 (multiplicity 2)  1 Ag 2.10, 2 Bi 2.27-2.28
O3 0.4752 0.6383 0.7965 (multiplicity 2)  2 Bi 2.21-2.23

A plane-wave DFT calculation with PBE was carried out for an optimized crystal structure of Pr8Nd5Er.

Values from the calculation:
Volume, Å³/atom: 36.25
Energy, Ry per atom: -0.33260
DFT formation energy, eV per atom: 0.235
Density of states at the Fermi level, states/eV per cell: 42.154
Total magnetic moment, μB per formula unit: 0.00

Cell lengths 9.9196, 9.9196, 10.3156 Å; angles 90.00, 90.00, 90.00 degrees
Closest atoms and distances in Å follow each position.
Space group I-4 (No. 82)
Asymmetric unit:
Pr1 0.0682 0.1712 0.3426 (multiplicity 8)  5 Nd 3.47-3.70, 4 Pr 3.66-3.84
Pr2 0.0837 0.3153 0.0033 (multiplicity 8)  1 Er 3.24, 4 Nd 3.24-3.62
Nd1 0.0000 0.5000 0.2500 (multiplicity 2)  8 Pr 3.24-3.47
Nd2 0.1054 0.2925 0.6725 (multiplicity 8)  8 Pr 3.43-3.70, 2 Nd 3.63
Er1 0.0000 0.0000 0.0000 (multiplicity 2)  4 Pr 3.24

A plane-wave DFT calculation with PBE was carried out for an optimized crystal structure of LaPu2Os.

Values from the calculation:
Volume, Å³/atom: 23.82
Relative energy among the computed polymorphs, eV per atom: 0.1202
Energy, Ry per atom: -0.81344
DFT formation energy, eV per atom: 0.138
Density of states at the Fermi level, states/eV per cell: 39.082
Total magnetic moment, μB per formula unit: 11.12

Cell lengths 4.7458, 4.7458, 14.6545 Å; angles 90.00, 90.00, 120.00 degrees
Closest atoms and distances in Å follow each position.
Space group R-3m (No. 166, hexagonal axes)
Asymmetric unit:
La1 0.0000 0.0000 0.0000 (multiplicity 3)  8 Pu 3.11-3.40
Pu1 0.0000 0.0000 0.2323 (multiplicity 6)  3 Os 2.90, 3 La 3.11
Os1 0.0000 0.0000 0.5000 (multiplicity 3)  6 Pu 2.90

A plane-wave DFT calculation with PBE was carried out for an optimized crystal structure of LaPmSn2Pd5.

Values from the calculation:
Volume, Å³/atom: 21.16
Energy, Ry per atom: -0.40919
DFT formation energy, eV per atom: -0.718
Density of states at the Fermi level, states/eV per cell: 4.104
Total magnetic moment, μB per formula unit: 0.00

Cell lengths 4.5002, 4.5002, 9.4018 Å; angles 90.00, 90.00, 90.00 degrees
Closest atoms and distances in Å follow each position.
Space group P4/mmm (No. 123)
Asymmetric unit:
La1 0.0000 0.0000 0.0000 (multiplicity 1)  12 Pd 2.99-3.18
Pm1 0.0000 0.0000 0.5000 (multiplicity 1)  8 Sn 3.47, 8 Pd 3.54
Sn1 0.5000 0.5000 0.3523 (multiplicity 2)  4 Pd 2.62, 1 Sn 2.78
Pd1 0.0000 0.5000 0.2092 (multiplicity 4)  2 Sn 2.62
Pd2 0.5000 0.5000 0.0000 (multiplicity 1)  8 Pd 2.99, 4 La 3.18, 2 Sn 3.31

A plane-wave DFT calculation with PBE was carried out for an optimized crystal structure of Ce2AsAu.

Values from the calculation:
Volume, Å³/atom: 27.53
Energy, Ry per atom: -0.42944
DFT formation energy, eV per atom: -0.894
Density of states at the Fermi level, states/eV per cell: 41.392
Total magnetic moment, μB per formula unit: 2.09

Cell lengths 4.1435, 4.1435, 22.2188 Å; angles 90.00, 90.00, 120.00 degrees
Closest atoms and distances in Å follow each position.
Space group R-3m (No. 166, hexagonal axes)
Asymmetric unit:
Ce1 0.0000 0.0000 0.2460 (multiplicity 6)  3 As 2.97, 3 Au 3.08
As1 0.0000 0.0000 0.5000 (multiplicity 3)  6 Ce 2.97
Au1 0.0000 0.0000 0.0000 (multiplicity 3)  6 Ce 3.08

A plane-wave DFT calculation with PBE was carried out for an optimized crystal structure of AlCuOs4.

Values from the calculation:
Volume, Å³/atom: 15.87
Energy, Ry per atom: -0.59588
DFT formation energy, eV per atom: 0.686
Density of states at the Fermi level, states/eV per cell: 33.313
Total magnetic moment, μB per formula unit: 0.01

Cell lengths 7.2485, 7.2485, 7.2485 Å; angles 90.00, 90.00, 90.00 degrees
Closest atoms and distances in Å follow each position.
Space group F-43m (No. 216)
Asymmetric unit:
Al1 0.0000 0.0000 0.0000 (multiplicity 4)  12 Os 3.01, 4 Cu 3.14
Cu1 0.2500 0.2500 0.2500 (multiplicity 4)  12 Os 3.00, 4 Al 3.14
Os1 0.1249 0.1249 0.6249 (multiplicity 16)  6 Os 2.56